(1)
Here is crystalline TbNdTeAu at its relaxed geometry from Alexandria via LeMat-Bulk. Energies are from GGA-PBE.

DFT total energy = -5.008 eV per atom
Formation energy without anion corrections = -102 kJ per mole of atoms

Lattice parameters (Å, degrees): 4.240 4.240 7.964 74.56 74.56 60.00
Sites, in units of the cell vectors:
1 Tb 0.994 0.994 0.019
2 Te 0.747 0.747 0.758
3 Au 0.253 0.253 0.241
4 Nd 0.506 0.506 0.482

(2)
Here is crystalline YAgIr at its relaxed geometry from Alexandria via LeMat-Bulk. Energies are from GGA-PBE.

Offset from the most stable computed form = 36.7 meV/atom
DFT total energy = -6.279 eV per atom
Formation energy = -0.220 eV per atom

Lattice parameters (Å, degrees): 5.733 5.733 5.778 80.52 128.67 122.43
Sites, in units of the cell vectors:
1 Y 0.750 0.372 0.121
2 Ir 0.251 0.947 0.198
3 Ag 0.500 0.500 0.500
4 Y 0.250 0.628 0.879
5 Ir 0.749 0.053 0.802
6 Ag 0.000 0.000 0.500

(3)
Here is crystalline AgSb4S6 at its relaxed geometry from Alexandria via LeMat-Bulk. Energies are from GGA-PBE.

DFT total energy = -4.120 eV per atom
Formation energy without anion corrections = -11 kJ per mole of atoms

Lattice parameters (Å, degrees): 5.659 5.658 10.879 116.31 116.21 83.19
Sites, in units of the cell vectors:
1 S 0.858 0.855 0.312
2 S 0.547 0.057 0.621
3 Sb 0.691 0.697 0.761
4 S 0.058 0.547 0.622
5 Sb 0.328 0.828 0.342
6 S 0.558 0.067 0.959
7 S 0.333 0.330 0.310
8 Sb 0.833 0.326 0.343
9 Sb 0.126 0.132 0.756
10 S 0.061 0.559 0.959
11 Ag 0.108 0.101 0.015

(4)
Here is crystalline Cr3InRu at its relaxed geometry from Alexandria via LeMat-Bulk. Energies are from GGA-PBE.

Offset from the most stable computed form = 0.0 meV/atom
DFT total energy = -7.063 eV per atom
Formation energy = 1.114 eV per atom

Lattice parameters (Å, degrees): 4.675 4.675 4.675 90.00 90.00 90.00
Sites, in units of the cell vectors:
1 In 0.500 0.500 0.500
2 Cr 0.000 0.500 0.000
3 Ru 0.000 0.000 0.000
4 Cr 0.000 0.000 0.500
5 Cr 0.500 0.000 0.000

(5)
Here is crystalline ZrScPSe at its relaxed geometry from Alexandria via LeMat-Bulk. Energies are from GGA-PBE.

DFT total energy = -7.406 eV per atom
Formation energy without anion corrections = -141 kJ per mole of atoms

Lattice parameters (Å, degrees): 3.719 3.721 6.948 90.00 105.48 120.01
Sites, in units of the cell vectors:
1 Sc 0.492 0.144 0.652
2 Se 0.967 0.382 0.364
3 P 0.303 0.550 0.868
4 Zr 0.115 0.956 0.085

(6)
Here is crystalline BC3 at its relaxed geometry from Alexandria via LeMat-Bulk. Energies are from GGA-PBE.

Offset from the most stable computed form = 78.6 meV/atom
DFT total energy = -8.268 eV per atom
Formation energy = 0.319 eV per atom

Lattice parameters (Å, degrees): 4.492 4.492 7.505 114.44 114.44 33.58
Sites, in units of the cell vectors:
1 B 0.643 0.643 0.793
2 C 0.337 0.337 0.664
3 C 0.002 0.002 0.992
4 B 0.666 0.666 0.341
5 C 0.500 0.500 0.876
6 C 0.494 0.494 0.381
7 C 0.329 0.329 0.176
8 B 0.862 0.862 0.081
9 C 0.837 0.837 0.546
10 C 0.173 0.173 0.702
11 C 0.161 0.161 0.198
12 C 0.996 0.996 0.499

(7)
Here is crystalline TaTi2Cu at its relaxed geometry from Alexandria via LeMat-Bulk. Energies are from GGA-PBE.

Offset from the most stable computed form = 62.0 meV/atom
DFT total energy = -7.884 eV per atom
Formation energy = 0.050 eV per atom

Lattice parameters (Å, degrees): 3.969 4.014 4.014 90.00 90.00 90.00
Sites, in units of the cell vectors:
1 Cu 0.500 0.500 0.500
2 Ta 0.500 0.000 0.000
3 Ti 0.000 0.500 0.000
4 Ti 0.000 0.000 0.500

(8)
Here is crystalline TmB2Rh5 at its relaxed geometry from Alexandria via LeMat-Bulk. Energies are from GGA-PBE.

DFT total energy = -7.309 eV per atom
Formation energy = -0.486 eV per atom

Lattice parameters (Å, degrees): 3.833 6.047 6.047 57.03 71.52 71.52
Sites, in units of the cell vectors:
1 Rh 0.650 0.122 0.578
2 B 0.211 0.289 0.289
3 Rh 0.350 0.878 0.422
4 Tm 0.000 0.000 0.000
5 Rh 0.650 0.578 0.122
6 B 0.789 0.711 0.711
7 Rh 0.000 0.500 0.500
8 Rh 0.350 0.422 0.878

(9)
Here is crystalline SmTa2Ru2 at its relaxed geometry from Alexandria via LeMat-Bulk. Energies are from GGA-PBE.

DFT total energy = -9.681 eV per atom
Formation energy = -0.286 eV per atom

Lattice parameters (Å, degrees): 4.369 4.369 6.208 110.60 110.60 90.00
Sites, in units of the cell vectors:
1 Ta 0.750 0.250 0.500
2 Ru 0.621 0.621 0.242
3 Sm 0.000 0.000 0.000
4 Ru 0.379 0.379 0.758
5 Ta 0.250 0.750 0.500

(10)
Here is crystalline TaTiAs2 at its relaxed geometry from Alexandria via LeMat-Bulk. Energies are from GGA-PBE.

Offset from the most stable computed form = 65.4 meV/atom
DFT total energy = -7.858 eV per atom
Formation energy = -0.596 eV per atom

Lattice parameters (Å, degrees): 3.531 3.531 6.864 75.10 75.10 60.00
Sites, in units of the cell vectors:
1 As 0.251 0.251 0.246
2 As 0.082 0.082 0.754
3 Ti 0.668 0.668 0.997
4 Ta 0.499 0.499 0.504

(11)
Here is crystalline SnPCl2 at its relaxed geometry from Alexandria via LeMat-Bulk. Energies are from GGA-PBE.

Offset from the most stable computed form = 255.6 meV/atom
DFT total energy = -3.059 eV per atom
Formation energy without anion corrections = 21 kJ per mole of atoms

Lattice parameters (Å, degrees): 9.787 9.787 9.787 19.33 19.33 19.33
Sites, in units of the cell vectors:
1 Cl 0.906 0.906 0.906
2 P 0.500 0.500 0.500
3 Cl 0.094 0.094 0.094
4 Sn 0.000 0.000 0.000

(12)
Here is crystalline HfNb2Si2 at its relaxed geometry from Alexandria via LeMat-Bulk. Energies are from GGA-PBE.

Offset from the most stable computed form = 687.8 meV/atom
DFT total energy = -8.260 eV per atom
Formation energy without anion corrections = -7 kJ per mole of atoms

Lattice parameters (Å, degrees): 3.482 3.482 7.788 77.08 77.08 90.00
Sites, in units of the cell vectors:
1 Si 0.750 0.250 0.500
2 Nb 0.612 0.612 0.776
3 Si 0.250 0.750 0.500
4 Hf 0.000 0.000 0.000
5 Nb 0.388 0.388 0.224

> Which of these has the lowest DFT total energy?

SmTa2Ru2